{
  "formula": "SiAs2IrSe",
  "functional": "PBEsol",
  "state": "relaxed",
  "formation_energy_uncorrected_mev_per_atom": 779,
  "cell": [[4.617, 0.000, 0.000], [0.000, 4.617, 0.000], [0.000, 0.000, 5.290]],
  "species": ["Si", "As", "Se", "As", "Ir"],
  "fractional_positions": [[0.500, 0.500, 0.500], [0.000, 0.500, 0.000], [0.000, 0.000, 0.500], [0.500, 0.000, 0.000], [0.000, 0.000, 0.000]]
}

{
  "formula": "Li2MgNi3O8",
  "functional": "PBEsol",
  "state": "relaxed",
  "formation_energy_uncorrected_mev_per_atom": -1332,
  "cell": [[-3.270, 2.090, 4.091], [-2.006, -4.011, -3.440], [4.003, -1.398, 3.913]],
  "species": ["Ni", "Ni", "O", "O", "O", "Mg", "Li", "Li", "O", "O", "O", "O", "O", "Ni"],
  "fractional_positions": [[0.500, 0.500, 0.000], [0.000, 0.500, 0.000], [0.755, 0.040, 0.786], [0.752, 0.504, 0.790], [0.716, 0.960, 0.214], [0.000, 0.000, 0.000], [0.000, 0.000, 0.500], [0.500, 0.000, 0.500], [0.284, 0.040, 0.786], [0.733, 0.465, 0.196], [0.267, 0.535, 0.804], [0.245, 0.960, 0.214], [0.248, 0.496, 0.210], [0.500, 0.000, 0.000]]
}

{
  "formula": "Ca2TaAg",
  "functional": "PBEsol",
  "state": "relaxed",
  "relative_energy_mev_per_atom": 0,
  "ef_mev_per_atom": 364.6,
  "cell": [[3.148, 0.000, 0.000], [0.000, 3.148, 0.000], [0.000, 0.000, 9.241]],
  "species": ["Ca", "Ag", "Ca", "Ta"],
  "fractional_positions": [[0.000, 0.000, 0.742], [0.500, 0.500, 0.500], [0.000, 0.000, 0.258], [0.500, 0.500, 0.000]]
}

The records above give, respectively, total magnetic moment values of 0.00, 0.00, 0.00 μB per formula unit.